# 1
# MnCo2Te

MnCo2Te after structural relaxation (PBEsol, the Alexandria database).

abc: 3.136 3.136 5.561
angles: 90.00 90.00 90.00
Fractional positions:
Mn 0.000 0.000 0.000
Co 0.500 0.500 0.236
Co 0.500 0.500 0.764
Te 0.000 0.000 0.500

Calculated values
Space group ... P4/mmm (123)
Formation energy without anion corrections ... 0.266 eV per atom

***

# 2
# TiMnCo3

TiMnCo3 after structural relaxation (PBEsol, the Alexandria database).

abc: 4.153 4.153 4.153
angles: 90.00 90.00 90.00
Fractional positions:
Ti 0.000 0.000 0.000
Mn 0.500 0.500 0.500
Co 0.000 0.000 0.500
Co 0.000 0.500 0.000
Co 0.500 0.000 0.000

Calculated values
Energy of formation ... 1.08 eV/atom
Space group ... Pm-3m (221)

***

# 3
# Ti2MnCo

Ti2MnCo after structural relaxation (PBEsol, the Alexandria database).

abc: 5.851 5.851 5.851
angles: 90.00 90.00 90.00
Fractional positions:
Ti 0.250 0.250 0.250
Ti 0.250 0.250 0.750
Ti 0.250 0.750 0.250
Ti 0.250 0.750 0.750
Ti 0.750 0.250 0.250
Ti 0.750 0.250 0.750
Ti 0.750 0.750 0.250
Ti 0.750 0.750 0.750
Mn 0.000 0.000 0.000
Mn 0.000 0.500 0.500
Mn 0.500 0.000 0.500
Mn 0.500 0.500 0.000
Co 0.000 0.000 0.500
Co 0.000 0.500 0.000
Co 0.500 0.000 0.000
Co 0.500 0.500 0.500

Calculated values
Energy of formation ... -0.39 eV/atom
Space group ... Fm-3m (225)

***

# 4
# MnTl2Co

MnTl2Co after structural relaxation (PBEsol, the Alexandria database).

abc: 6.458 6.458 6.458
angles: 90.00 90.00 90.00
Fractional positions:
Mn 0.000 0.000 0.000
Mn 0.000 0.500 0.500
Mn 0.500 0.000 0.500
Mn 0.500 0.500 0.000
Tl 0.250 0.250 0.250
Tl 0.250 0.250 0.750
Tl 0.250 0.750 0.250
Tl 0.250 0.750 0.750
Tl 0.750 0.250 0.250
Tl 0.750 0.250 0.750
Tl 0.750 0.750 0.250
Tl 0.750 0.750 0.750
Co 0.000 0.000 0.500
Co 0.000 0.500 0.000
Co 0.500 0.000 0.000
Co 0.500 0.500 0.500

Calculated values
Energy of formation ... 0.56 eV/atom
Space group ... Fm-3m (225)

***

# 5
# MnTl2Co

MnTl2Co after structural relaxation (PBEsol, the Alexandria database).

abc: 8.713 3.227 5.191
angles: 90.00 103.53 90.00
Fractional positions:
Mn 0.000 0.000 0.000
Mn 0.500 0.500 0.000
Tl 0.242 0.000 0.739
Tl 0.258 0.500 0.261
Tl 0.742 0.500 0.739
Tl 0.758 0.000 0.261
Co 0.000 0.500 0.500
Co 0.500 0.000 0.500

Calculated values
Energy of formation ... 0.63 eV/atom
Space group ... C2/m (12)

***

# 6
# MnTl2Co

MnTl2Co after structural relaxation (PBEsol, the Alexandria database).

abc: 3.111 3.111 26.889
angles: 90.00 90.00 120.00
Fractional positions:
Mn 0.000 0.000 0.000
Mn 0.333 0.667 0.667
Mn 0.667 0.333 0.333
Tl 0.000 0.000 0.247
Tl 0.000 0.000 0.472
Tl 0.333 0.667 0.138
Tl 0.333 0.667 0.914
Tl 0.667 0.333 0.581
Tl 0.667 0.333 0.805
Co 0.000 0.000 0.726
Co 0.333 0.667 0.392
Co 0.667 0.333 0.059

Calculated values
Energy of formation ... 0.55 eV/atom
Space group ... R3m (160)

***

Number 1: M_tot 5.6 μB/f.u., electronic total energy -0.2544 Ha/atom. Number 2: M_tot 5.7 μB/f.u., electronic total energy -0.2639 Ha/atom. Number 3: M_tot 0.0 μB/f.u., electronic total energy -0.3280 Ha/atom. Number 4: M_tot 4.4 μB/f.u., electronic total energy -0.1886 Ha/atom. Number 5: M_tot 4.6 μB/f.u., electronic total energy -0.1861 Ha/atom. Number 6: M_tot 4.9 μB/f.u., electronic total energy -0.1890 Ha/atom.